No. 1
This record from Alexandria describes PrHf2NbN4 after structural relaxation. The functional is PBE-GGA.

Geometry as POSCAR:
```
PrHf2NbN4
1.0
1.639 -5.817 0.000
1.639 5.817 0.000
0.000 0.000 11.536
Pr Hf Nb N
2 4 2 8
Cartesian
1.639 4.435 8.652
1.639 -4.435 2.884
1.639 1.530 6.158
1.639 1.530 11.146
1.639 -1.530 0.390
1.639 -1.530 5.378
1.639 4.120 2.884
1.639 -4.120 8.652
0.000 0.000 0.000
0.000 0.000 5.768
1.639 2.839 1.263
1.639 2.839 4.505
1.639 0.417 8.652
1.639 -0.417 2.884
1.639 -2.839 7.031
1.639 -2.839 10.273
```

## Properties
Its energy relative to the elements, uncorrected is -9.815 eV per formula unit. Its total energy is -9.73 eV/atom. The space-group type is Cmcm (63).

No. 2
This record from Alexandria describes HfNbPtN2 after structural relaxation. The functional is PBE-GGA.

Geometry as POSCAR:
```
HfNbPtN2
1.0
3.980 0.000 0.000
0.000 3.980 0.000
0.000 0.000 5.239
Hf Nb Pt N
1 1 1 2
Cartesian
0.000 0.000 0.000
1.990 1.990 0.000
0.000 0.000 2.619
0.000 1.990 2.619
1.990 0.000 2.619
```

## Properties
Its energy relative to the elements, uncorrected is 7.995 eV per formula unit. Its total energy is -6.94 eV/atom. The space-group type is P4/mmm (123).

Q: Which value of energy relative to the elements, uncorrected does entry 2 give?
A: 7.995 eV per formula unit